Below is a relaxed LiNd2Mg3 crystal, with properties calculated at the PBE level.

Calculated formation energy ... -0.066 eV/atom
DOS(E_F) ... 0.759 states/eV/atom
Spin magnetization ... 0.00 Bohr magnetons per cell
E_tot ... -16.63 eV for the cell shown

abc: 3.763 3.763 11.446
angles: 90.00 90.00 90.00
Sites, in units of the cell vectors:
Nd: 0.500 0.500 0.172
Nd: 0.500 0.500 0.828
Mg: 0.000 0.000 0.642
Mg: 0.000 0.000 0.000
Mg: 0.000 0.000 0.358
Li: 0.500 0.500 0.500

---

Below is a relaxed LiNdMg2 crystal, with properties calculated at the PBE level.

Calculated formation energy ... -0.047 eV/atom
DOS(E_F) ... 1.073 states/eV/atom
Spin magnetization ... 0.00 Bohr magnetons per cell
E_tot ... -10.06 eV for the cell shown

abc: 3.554 3.554 7.979
angles: 90.00 90.00 90.00
Sites, in units of the cell vectors:
Li: 0.500 0.500 0.000
Nd: 0.500 0.500 0.500
Mg: 0.000 0.000 0.208
Mg: 0.000 0.000 0.792

---

Below is a relaxed Li8NdMg3 crystal, with properties calculated at the PBE level.

Calculated formation energy ... 0.012 eV/atom
DOS(E_F) ... 0.721 states/eV/atom
Spin magnetization ... 0.00 Bohr magnetons per cell
E_tot ... -24.72 eV for the cell shown

abc: 5.649 5.649 9.156
angles: 90.00 90.00 120.00
Sites, in units of the cell vectors:
Li: 0.506 0.494 0.761
Li: 0.988 0.494 0.761
Li: 0.333 0.667 0.499
Li: 0.506 0.012 0.761
Li: 0.164 0.329 0.241
Li: 0.671 0.836 0.241
Li: 0.333 0.667 0.991
Li: 0.164 0.836 0.241
Mg: 0.000 0.000 0.943
Mg: 0.667 0.333 0.430
Mg: 0.667 0.333 0.067
Nd: 0.000 0.000 0.565